[1]
Density functional theory data (PBE) for crystalline KPrTl at its relaxed geometry.

a = 4.0317 Å, b = 4.0317 Å, c = 15.2399 Å
α = 97.60°, β = 97.60°, γ = 90.00°
Last column: nearest neighbours and their distance in Å.
Fractional coordinates of all 6 atoms:
Tl 0.1521 0.1521 0.3042  4 Pr 3.36, 4 K 3.71
Pr 0.7112 0.7112 0.4224  4 Tl 3.36, 4 Pr 3.68
Pr 0.2888 0.2888 0.5776  4 Tl 3.36, 4 Pr 3.68
K 0.4271 0.4271 0.8541  4 Tl 3.71, 4 K 4.03, 1 Pr 4.14
K 0.5729 0.5729 0.1459  4 Tl 3.71, 4 K 4.03, 1 Pr 4.14
Tl 0.8479 0.8479 0.6958  4 Pr 3.36, 4 K 3.71

Properties
* VASP energy: -0.1055 hartree per atom


[2]
Density functional theory data (PBE) for crystalline KPrTl4 at its relaxed geometry.

a = 6.4346 Å, b = 6.4346 Å, c = 6.4346 Å
α = 60.00°, β = 60.00°, γ = 60.00°
Last column: nearest neighbours and their distance in Å.
Fractional coordinates of all 6 atoms:
Tl 0.6255 0.6255 0.1236  6 Tl 3.21-3.23
K 0.2500 0.2500 0.2500  12 Tl 3.77, 4 Pr 3.94
Tl 0.6255 0.6255 0.6255  6 Tl 3.21-3.23
Tl 0.1236 0.6255 0.6255  6 Tl 3.21-3.23
Pr 0.0000 0.0000 0.0000  12 Tl 3.77, 4 K 3.94
Tl 0.6255 0.1236 0.6255  6 Tl 3.21-3.23

Properties
* VASP energy: -0.0963 hartree per atom


[3]
Density functional theory data (PBE) for crystalline KPrTl2 at its relaxed geometry.

a = 5.6835 Å, b = 5.6835 Å, c = 5.6835 Å
α = 60.00°, β = 60.00°, γ = 60.00°
Last column: nearest neighbours and their distance in Å.
Fractional coordinates of all 4 atoms:
Tl 0.7500 0.7500 0.7500  4 K 3.48, 4 Pr 3.48
Pr 0.0000 0.0000 0.0000  8 Tl 3.48
Tl 0.2500 0.2500 0.2500  4 Pr 3.48, 4 K 3.48
K 0.5000 0.5000 0.5000  8 Tl 3.48

Properties
* offset from the most stable computed form: 34 kJ/mol of formula units


[4]
Density functional theory data (PBE) for crystalline KPrTl2 at its relaxed geometry.

a = 3.8758 Å, b = 3.8758 Å, c = 11.1574 Å
α = 80.00°, β = 80.00°, γ = 60.00°
Last column: nearest neighbours and their distance in Å.
Fractional coordinates of all 4 atoms:
Pr 0.0000 0.0000 0.0000  6 Tl 3.39
Tl 0.7444 0.7444 0.7669  3 Pr 3.39, 3 K 3.68
K 0.5000 0.5000 0.5000  6 Tl 3.68, 6 K 3.88
Tl 0.2556 0.2556 0.2331  3 Pr 3.39, 3 K 3.68

Properties
* offset from the most stable computed form: 58 kJ/mol of formula units


[5]
Density functional theory data (PBE) for crystalline KPrTl2 at its relaxed geometry.

a = 3.9815 Å, b = 3.9815 Å, c = 8.6879 Å
α = 90.00°, β = 90.00°, γ = 90.00°
Last column: nearest neighbours and their distance in Å.
Fractional coordinates of all 4 atoms:
Tl 0.0000 0.0000 0.2124  4 Pr 3.37, 1 Tl 3.69, 4 K 3.76
Tl 0.0000 0.0000 0.7876  4 Pr 3.37, 1 Tl 3.69, 4 K 3.76
K 0.5000 0.5000 0.5000  8 Tl 3.76, 4 K 3.98
Pr 0.5000 0.5000 0.0000  8 Tl 3.37

Properties
* offset from the most stable computed form: 0 kJ/mol of formula units


[6]
Density functional theory data (PBE) for crystalline KPr2Y at its relaxed geometry.

a = 3.6880 Å, b = 3.6880 Å, c = 13.6903 Å
α = 82.26°, β = 82.26°, γ = 60.00°
Last column: nearest neighbours and their distance in Å.
Fractional coordinates of all 4 atoms:
Pr 0.9045 0.9045 0.2864  3 Y 3.59, 6 Pr 3.69, 1 K 3.87
Y 0.5000 0.5000 0.5000  6 Pr 3.59, 6 Y 3.69
Pr 0.0955 0.0955 0.7136  3 Y 3.59, 6 Pr 3.69, 1 K 3.87
K 0.0000 0.0000 0.0000  6 K 3.69, 2 Pr 3.87

Properties
* VASP energy: -0.1507 hartree per atom